1.
DFT (PBE) results for an optimized crystal structure of Tm3Hg2Pb3.

a b c (Å): 6.031 6.031 6.031
angles (deg): 92.43 92.43 87.57
Fractional coordinates of all 8 atoms:
Pb 0.779 0.500 0.779
Pb 0.500 0.221 0.221
Pb 0.221 0.779 0.500
Hg 0.849 0.849 0.151
Hg 0.151 0.151 0.849
Tm 0.676 0.000 0.676
Tm 0.000 0.324 0.324
Tm 0.324 0.676 0.000

Values from the calculation:
- Mass density: 11.61 g/cm³
- Final energy: -3.409 eV/atom
- Magnetization: 0.00 μB/f.u.
- Formation energy: -2.13 eV per formula unit
- Offset from the most stable computed form: 5.7 meV/atom


2.
DFT (PBE) results for an optimized crystal structure of Tm6Hg2Pb3.

a b c (Å): 4.746 4.746 15.083
angles (deg): 99.05 99.05 90.00
Each line ends with the local moment (μB).
Fractional coordinates of all 11 atoms:
Tm 0.570 0.070 0.140  0.11
Tm 0.430 0.930 0.860  0.11
Tm 0.930 0.430 0.860  0.11
Tm 0.272 0.272 0.545  0.02
Tm 0.728 0.728 0.455  0.02
Tm 0.070 0.570 0.140  0.11
Pb 0.837 0.837 0.675  0.00
Pb 0.163 0.163 0.325  0.00
Pb 0.000 0.000 0.000  0.00
Hg 0.630 0.630 0.260  0.01
Hg 0.370 0.370 0.740  0.01

Values from the calculation:
- Mass density: 10.21 g/cm³
- Final energy: -3.599 eV/atom
- Magnetization: 0.57 μB/f.u.
- Formation energy: -1.03 eV per formula unit


3.
DFT (PBE) results for an optimized crystal structure of Tm4HgPb4.

a b c (Å): 8.044 8.044 7.164
angles (deg): 124.15 124.15 90.00
Fractional coordinates of all 9 atoms:
Tm 0.584 0.584 0.647
Tm 0.416 0.937 0.353
Tm 0.937 0.416 0.353
Tm 0.063 0.063 0.647
Pb 0.000 0.500 0.000
Pb 0.669 0.669 0.338
Pb 0.331 0.331 0.662
Pb 0.500 0.000 0.000
Hg 0.000 0.000 0.000

Values from the calculation:
- Mass density: 10.05 g/cm³
- Final energy: -3.720 eV/atom
- Magnetization: 0.00 μB/f.u.
- Formation energy: -0.46 eV per formula unit


4.
DFT (PBE) results for an optimized crystal structure of Tm2HgPb4.

a b c (Å): 3.526 8.240 8.162
angles (deg): 114.96 102.48 90.00
Fractional coordinates of all 7 atoms:
Hg 0.000 0.000 0.000
Tm 0.216 0.145 0.432
Tm 0.784 0.855 0.568
Pb 0.352 0.585 0.703
Pb 0.918 0.288 0.835
Pb 0.082 0.712 0.165
Pb 0.648 0.415 0.297

Values from the calculation:
- Mass density: 10.87 g/cm³
- Final energy: -3.520 eV/atom
- Magnetization: 0.00 μB/f.u.
- Formation energy: -0.56 eV per formula unit
- Offset from the most stable computed form: 162.4 meV/atom


5.
DFT (PBE) results for an optimized crystal structure of Tm4Hg2Pb.

a b c (Å): 4.898 4.898 10.444
angles (deg): 76.44 76.44 60.00
Fractional coordinates of all 7 atoms:
Hg 0.603 0.603 0.192
Hg 0.397 0.397 0.808
Pb 0.500 0.500 0.500
Tm 0.116 0.116 0.652
Tm 0.884 0.884 0.348
Tm 0.299 0.299 0.103
Tm 0.701 0.701 0.897

Values from the calculation:
- Mass density: 10.21 g/cm³
- Final energy: -3.352 eV/atom
- Magnetization: 0.00 μB/f.u.
- Formation energy: -1.27 eV per formula unit
- Offset from the most stable computed form: 90.3 meV/atom


6.
DFT (PBE) results for an optimized crystal structure of TmHgPb2.

a b c (Å): 4.653 4.798 4.798
angles (deg): 90.00 90.00 90.00
Fractional coordinates of all 4 atoms:
Hg 0.500 0.000 0.000
Pb 0.000 0.000 0.500
Pb 0.000 0.500 0.000
Tm 0.500 0.500 0.500

Values from the calculation:
- Mass density: 12.15 g/cm³
- Final energy: -3.300 eV/atom
- Magnetization: 0.00 μB/f.u.
- Formation energy: -1.01 eV per formula unit


7.
DFT (PBE) results for an optimized crystal structure of YTmHgPb.

a b c (Å): 5.316 5.316 5.316
angles (deg): 60.00 60.00 60.00
Fractional coordinates of all 4 atoms:
Pb 0.500 0.500 0.500
Y 0.750 0.750 0.750
Hg 0.000 0.000 0.000
Tm 0.250 0.250 0.250

Values from the calculation:
- Mass density: 10.40 g/cm³
- Final energy: -4.177 eV/atom
- Magnetization: 0.00 μB/f.u.
- Formation energy: -1.76 eV per formula unit
- Offset from the most stable computed form: 10.0 meV/atom


8.
DFT (PBE) results for an optimized crystal structure of YTmHgPb.

a b c (Å): 3.953 5.207 5.179
angles (deg): 90.00 90.00 90.00
Fractional coordinates of all 4 atoms:
Y 0.000 0.000 0.000
Pb 0.500 0.000 0.500
Hg 0.500 0.500 0.000
Tm 0.000 0.500 0.500

Values from the calculation:
- Mass density: 10.37 g/cm³
- Final energy: -4.187 eV/atom
- Magnetization: 0.00 μB/f.u.
- Formation energy: -1.80 eV per formula unit
- Offset from the most stable computed form: 0.0 meV/atom


9.
DFT (PBE) results for an optimized crystal structure of TmZnHgPb.

a b c (Å): 5.162 5.162 5.162
angles (deg): 60.00 60.00 60.00
Fractional coordinates of all 4 atoms:
Pb 0.750 0.750 0.750
Hg 0.000 0.000 0.000
Zn 0.500 0.500 0.500
Tm 0.250 0.250 0.250

Values from the calculation:
- Mass density: 10.96 g/cm³
- Final energy: -2.552 eV/atom
- Magnetization: 0.00 μB/f.u.
- Formation energy: -0.45 eV per formula unit


10.
DFT (PBE) results for an optimized crystal structure of TmZrHgPb.

a b c (Å): 5.167 5.167 5.167
angles (deg): 60.00 60.00 60.00
Fractional coordinates of all 4 atoms:
Tm 0.750 0.750 0.750
Zr 0.250 0.250 0.250
Pb 0.500 0.500 0.500
Hg 0.000 0.000 0.000

Values from the calculation:
- Mass density: 11.37 g/cm³
- Final energy: -4.451 eV/atom
- Magnetization: 0.01 μB/f.u.
- Formation energy: -0.78 eV per formula unit


11.
DFT (PBE) results for an optimized crystal structure of UHg2Pb.

a b c (Å): 3.233 3.233 9.933
angles (deg): 90.00 90.00 90.00
Each line ends with the local moment (μB).
Fractional coordinates of all 4 atoms:
Hg 0.000 0.000 0.237  0.01
Hg 0.000 0.000 0.763  0.01
Pb 0.500 0.500 0.500  -0.02
U 0.500 0.500 0.000  3.07

Values from the calculation:
- Mass density: 13.53 g/cm³
- Final energy: -3.720 eV/atom
- Magnetization: 3.52 μB/f.u.
- Formation energy: 0.72 eV per formula unit


12.
DFT (PBE) results for an optimized crystal structure of UHg2Pb.

a b c (Å): 4.848 4.611 4.611
angles (deg): 90.00 90.00 90.00
Each line ends with the local moment (μB).
Fractional coordinates of all 4 atoms:
Hg 0.000 0.000 0.500  0.02
Hg 0.000 0.500 0.000  0.02
U 0.500 0.000 0.000  2.59
Pb 0.500 0.500 0.500  0.00

Values from the calculation:
- Mass density: 13.64 g/cm³
- Final energy: -3.763 eV/atom
- Magnetization: 2.95 μB/f.u.
- Formation energy: 0.55 eV per formula unit


13.
DFT (PBE) results for an optimized crystal structure of UHgPb.

a b c (Å): 4.356 4.356 8.221
angles (deg): 90.00 90.00 90.00
Each line ends with the local moment (μB).
Fractional coordinates of all 6 atoms:
U 0.000 0.000 0.000  2.72
U 0.500 0.500 0.000  2.72
Pb 0.000 0.500 0.668  -0.02
Pb 0.500 0.000 0.332  -0.02
Hg 0.500 0.000 0.703  0.00
Hg 0.000 0.500 0.297  0.00

Values from the calculation:
- Mass density: 13.75 g/cm³
- Final energy: -4.876 eV/atom
- Magnetization: 2.97 μB/f.u.
- Formation energy: 0.67 eV per formula unit


14.
DFT (PBE) results for an optimized crystal structure of V2HgPb.

a b c (Å): 4.831 4.831 4.831
angles (deg): 60.00 60.00 60.00
Each line ends with the local moment (μB).
Fractional coordinates of all 4 atoms:
V 0.250 0.250 0.250  2.52
V 0.750 0.750 0.750  2.52
Hg 0.000 0.000 0.000  0.04
Pb 0.500 0.500 0.500  -0.07

Values from the calculation:
- Mass density: 10.62 g/cm³
- Final energy: -5.008 eV/atom
- Magnetization: 5.90 μB/f.u.
- Formation energy: 2.21 eV per formula unit
- Offset from the most stable computed form: 0.0 meV/atom


15.
DFT (PBE) results for an optimized crystal structure of V2HgPb.

a b c (Å): 7.444 7.444 6.006
angles (deg): 51.71 51.71 90.00
Fractional coordinates of all 8 atoms:
V 0.127 0.625 0.250
V 0.623 0.125 0.250
V 0.875 0.873 0.750
V 0.375 0.377 0.750
Hg 0.250 0.750 0.500
Hg 0.500 0.500 0.000
Pb 0.000 0.000 0.000
Pb 0.750 0.250 0.500

Values from the calculation:
- Mass density: 10.56 g/cm³
- Final energy: -4.718 eV/atom
- Magnetization: 0.00 μB/f.u.
- Formation energy: 3.37 eV per formula unit
- Offset from the most stable computed form: 290.2 meV/atom


16.
DFT (PBE) results for an optimized crystal structure of HgPbW2.

a b c (Å): 3.236 3.221 8.620
angles (deg): 77.49 90.00 90.00
Fractional coordinates of all 4 atoms:
W 0.500 0.352 0.208
W 0.000 0.891 0.052
Hg 0.000 0.683 0.452
Pb 0.500 0.574 0.788

Values from the calculation:
- Mass density: 14.68 g/cm³
- Final energy: -6.878 eV/atom
- Magnetization: 0.00 μB/f.u.
- Formation energy: 2.40 eV per formula unit
- Offset from the most stable computed form: 0.0 meV/atom


17.
DFT (PBE) results for an optimized crystal structure of HgPbW.

a b c (Å): 5.710 5.710 5.710
angles (deg): 149.29 135.67 54.90
Each line ends with the local moment (μB).
Fractional coordinates of all 3 atoms:
Pb 0.328 0.328 0.000  -0.01
Hg 0.025 0.025 0.000  0.02
W 0.647 0.647 0.000  0.45

Values from the calculation:
- Mass density: 14.88 g/cm³
- Final energy: -4.595 eV/atom
- Magnetization: 0.59 μB/f.u.
- Formation energy: 3.18 eV per formula unit
- Offset from the most stable computed form: 198.4 meV/atom


18.
DFT (PBE) results for an optimized crystal structure of HgPbW2.

a b c (Å): 9.798 9.798 9.798
angles (deg): 17.84 17.84 17.84
Fractional coordinates of all 4 atoms:
Hg 0.250 0.250 0.250
Pb 0.750 0.750 0.750
W 0.501 0.501 0.501
W 0.999 0.999 0.999

Values from the calculation:
- Mass density: 16.71 g/cm³
- Final energy: -6.397 eV/atom
- Magnetization: 0.00 μB/f.u.
- Formation energy: 4.33 eV per formula unit
- Offset from the most stable computed form: 480.9 meV/atom


19.
DFT (PBE) results for an optimized crystal structure of HgPbW2.

a b c (Å): 2.987 2.987 10.418
angles (deg): 90.00 90.00 113.04
Fractional coordinates of all 4 atoms:
Hg 0.000 0.000 0.464
W 0.000 0.000 0.035
W 0.500 0.500 0.222
Pb 0.500 0.500 0.780

Values from the calculation:
- Mass density: 15.05 g/cm³
- Final energy: -6.866 eV/atom
- Magnetization: 0.00 μB/f.u.
- Formation energy: 2.45 eV per formula unit
- Offset from the most stable computed form: 12.6 meV/atom


20.
DFT (PBE) results for an optimized crystal structure of HgPbW2.

a b c (Å): 3.242 3.242 8.277
angles (deg): 90.00 90.00 90.00
Fractional coordinates of all 4 atoms:
W 0.500 0.500 0.207
W 0.000 0.000 0.054
Hg 0.000 0.000 0.455
Pb 0.500 0.500 0.784

Values from the calculation:
- Mass density: 14.80 g/cm³
- Final energy: -6.861 eV/atom
- Magnetization: 0.00 μB/f.u.
- Formation energy: 2.47 eV per formula unit
- Offset from the most stable computed form: 17.5 meV/atom


21.
DFT (PBE) results for an optimized crystal structure of HgPbW.

a b c (Å): 3.123 3.123 7.835
angles (deg): 90.00 90.00 120.00
Fractional coordinates of all 3 atoms:
Pb 0.667 0.333 0.355
W 0.333 0.667 0.674
Hg 0.000 0.000 0.971

Values from the calculation:
- Mass density: 14.85 g/cm³
- Final energy: -4.774 eV/atom
- Magnetization: 0.00 μB/f.u.
- Formation energy: 2.64 eV per formula unit
- Offset from the most stable computed form: 19.1 meV/atom


22.
DFT (PBE) results for an optimized crystal structure of Hg2PbW.

a b c (Å): 5.774 5.823 3.114
angles (deg): 75.26 81.87 115.82
Fractional coordinates of all 4 atoms:
Hg 0.000 0.000 0.000
Hg 0.000 0.500 0.500
W 0.500 0.000 0.500
Pb 0.500 0.500 0.000

Values from the calculation:
- Mass density: 15.08 g/cm³
- Final energy: -3.453 eV/atom
- Magnetization: 0.00 μB/f.u.
- Formation energy: 3.45 eV per formula unit


23.
DFT (PBE) results for an optimized crystal structure of Hg2PbW.

a b c (Å): 3.034 3.034 9.698
angles (deg): 90.00 90.00 90.00
Fractional coordinates of all 4 atoms:
W 0.500 0.500 0.750
Pb 0.500 0.500 0.250
Hg 0.000 0.000 0.537
Hg 0.000 0.000 0.963

Values from the calculation:
- Mass density: 14.73 g/cm³
- Final energy: -3.608 eV/atom
- Magnetization: 0.00 μB/f.u.
- Formation energy: 2.83 eV per formula unit


24.
DFT (PBE) results for an optimized crystal structure of Hg2PbW.

a b c (Å): 2.970 2.970 11.317
angles (deg): 90.00 90.00 103.47
Fractional coordinates of all 4 atoms:
W 0.500 0.500 0.761
Pb 0.000 0.000 0.550
Hg 0.000 0.000 0.960
Hg 0.500 0.500 0.228

Values from the calculation:
- Mass density: 13.55 g/cm³
- Final energy: -3.680 eV/atom
- Magnetization: 0.00 μB/f.u.
- Formation energy: 2.54 eV per formula unit


25.
DFT (PBE) results for an optimized crystal structure of HgPbW.

a b c (Å): 5.790 5.790 5.790
angles (deg): 144.71 144.71 50.76
Fractional coordinates of all 3 atoms:
Pb 0.320 0.320 0.000
W 0.665 0.665 0.000
Hg 0.015 0.015 0.000

Values from the calculation:
- Mass density: 15.24 g/cm³
- Final energy: -4.542 eV/atom
- Magnetization: 0.00 μB/f.u.
- Formation energy: 3.34 eV per formula unit
- Offset from the most stable computed form: 251.3 meV/atom


26.
DFT (PBE) results for an optimized crystal structure of Hg2PbW.

a b c (Å): 5.221 3.012 5.477
angles (deg): 90.00 90.00 90.00
Fractional coordinates of all 4 atoms:
W 0.500 0.624 0.795
Hg 0.500 0.125 0.282
Hg 0.000 0.125 0.950
Pb 0.000 0.625 0.472

Values from the calculation:
- Mass density: 15.28 g/cm³
- Final energy: -3.520 eV/atom
- Magnetization: 0.00 μB/f.u.
- Formation energy: 3.18 eV per formula unit


27.
DFT (PBE) results for an optimized crystal structure of HgPb3W.

a b c (Å): 5.633 5.633 5.633
angles (deg): 90.00 90.00 90.00
Each line ends with the local moment (μB).
Fractional coordinates of all 5 atoms:
Pb 0.500 0.000 0.000  0.01
Pb 0.000 0.500 0.000  -0.03
Pb 0.000 0.000 0.500  -0.03
Hg 0.000 0.000 0.000  0.01
W 0.500 0.500 0.500  3.24

Values from the calculation:
- Mass density: 9.35 g/cm³
- Final energy: -3.278 eV/atom
- Magnetization: 4.39 μB/f.u.
- Formation energy: 7.99 eV per formula unit
- Offset from the most stable computed form: 1103.9 meV/atom


28.
DFT (PBE) results for an optimized crystal structure of HgPbW.

a b c (Å): 4.756 4.756 4.756
angles (deg): 60.00 60.00 60.00
Each line ends with the local moment (μB).
Fractional coordinates of all 3 atoms:
Hg 0.000 0.000 0.000  0.03
W 0.750 0.750 0.750  1.74
Pb 0.500 0.500 0.500  -0.04

Values from the calculation:
- Mass density: 12.92 g/cm³
- Final energy: -4.486 eV/atom
- Magnetization: 2.16 μB/f.u.
- Formation energy: 3.51 eV per formula unit
- Offset from the most stable computed form: 307.6 meV/atom


29.
DFT (PBE) results for an optimized crystal structure of HgPbW2.

a b c (Å): 3.321 3.321 6.832
angles (deg): 90.00 90.00 90.00
Fractional coordinates of all 4 atoms:
Pb 0.500 0.500 0.750
W 0.000 0.000 0.002
W 0.000 0.000 0.498
Hg 0.500 0.500 0.250

Values from the calculation:
- Mass density: 17.09 g/cm³
- Final energy: -6.204 eV/atom
- Magnetization: 0.00 μB/f.u.
- Formation energy: 5.10 eV per formula unit
- Offset from the most stable computed form: 674.2 meV/atom